--- P ---
VASP calculation (PBE) on a relaxed structure of FeMo2Os.

Space group   Cmmm, No. 65

a = 4.700 Å, b = 4.700 Å, c = 2.770 Å
α = 90.00°, β = 90.00°, γ = 109.31°
Sites, in units of the cell vectors:
1 Mo 0.500 0.500 0.000
2 Mo 0.000 0.000 0.000
3 Fe 0.000 0.500 0.500
4 Os 0.500 0.000 0.500

--- Q ---
VASP calculation (PBE) on a relaxed structure of FeMo2Os.

Space group   Pm, No. 6

a = 4.363 Å, b = 2.736 Å, c = 4.871 Å
α = 84.56°, β = 90.00°, γ = 90.00°
Sites, in units of the cell vectors:
1 Os 0.000 0.614 0.476
2 Mo 0.000 0.020 0.963
3 Mo 0.500 0.223 0.279
4 Fe 0.500 0.642 0.782

--- R ---
VASP calculation (PBE) on a relaxed structure of FeMo2Os.

Space group   I-42d, No. 122

a = 3.827 Å, b = 3.827 Å, c = 8.971 Å
α = 77.69°, β = 77.69°, γ = 90.00°
Sites, in units of the cell vectors:
1 Fe 0.250 0.750 0.500
2 Fe 0.500 0.500 0.000
3 Os 0.750 0.250 0.500
4 Os 0.000 0.000 0.000
5 Mo 0.142 0.625 0.250
6 Mo 0.608 0.125 0.250
7 Mo 0.875 0.858 0.750
8 Mo 0.375 0.392 0.750

--- S ---
VASP calculation (PBE) on a relaxed structure of FeMo2Os.

Space group   Pmm2, No. 25

a = 2.756 Å, b = 3.810 Å, c = 5.532 Å
α = 90.00°, β = 90.00°, γ = 90.00°
Sites, in units of the cell vectors:
1 Os 0.000 0.000 0.506
2 Mo 0.500 0.500 0.264
3 Mo 0.000 0.000 0.980
4 Fe 0.500 0.500 0.749

Most favorable first, least favorable last: P, Q, S, R